# 1
# Tb4Nd3Y

An optimized crystal structure of Tb4Nd3Y (PBE, the Alexandria database).

a = 23.708 Å, b = 3.499 Å, c = 6.808 Å
α = 90.00°, β = 106.62°, γ = 90.00°
Atoms (fractional coordinates):
Tb 0.125 0.000 0.384
Tb 0.241 0.500 0.733
Tb 0.259 0.000 0.267
Tb 0.375 0.500 0.616
Tb 0.625 0.500 0.384
Tb 0.741 0.000 0.733
Tb 0.759 0.500 0.267
Tb 0.875 0.000 0.616
Nd 0.000 0.000 0.000
Nd 0.127 0.000 0.870
Nd 0.373 0.500 0.130
Nd 0.500 0.500 0.000
Nd 0.627 0.500 0.870
Nd 0.873 0.000 0.130
Y 0.000 0.500 0.500
Y 0.500 0.000 0.500

Results
E_tot ... -4.756 eV per atom
Total magnetic moment ... 0.00 Bohr magnetons per cell
Formation energy from the elements ... 0.15 eV/atom
E above lowest polymorph ... 0.1318 eV/atom
Symmetry ... No. 12


# 2
# TbNd2Y5

An optimized crystal structure of TbNd2Y5 (PBE, the Alexandria database).

a = 10.202 Å, b = 10.202 Å, c = 5.975 Å
α = 106.88°, β = 106.88°, γ = 101.19°
Atoms (fractional coordinates):
Tb 0.147 0.853 0.750
Tb 0.853 0.147 0.250
Nd 0.000 0.500 0.000
Nd 0.500 0.000 0.500
Nd 0.500 0.500 0.000
Nd 0.500 0.500 0.500
Y 0.107 0.212 0.908
Y 0.164 0.461 0.562
Y 0.212 0.107 0.408
Y 0.287 0.713 0.250
Y 0.461 0.164 0.062
Y 0.539 0.836 0.938
Y 0.713 0.287 0.750
Y 0.788 0.893 0.592
Y 0.836 0.539 0.438
Y 0.893 0.788 0.092

Results
E_tot ... -5.541 eV per atom
Total magnetic moment ... 0.00 Bohr magnetons per cell
Formation energy from the elements ... 0.27 eV/atom
E above lowest polymorph ... 0.2501 eV/atom
Symmetry ... No. 15


# 3
# Tb12Nd6Y

An optimized crystal structure of Tb12Nd6Y (PBE, the Alexandria database).

a = 8.733 Å, b = 8.733 Å, c = 8.733 Å
α = 79.56°, β = 79.56°, γ = 79.56°
Atoms (fractional coordinates):
Tb 0.136 0.136 0.487
Tb 0.136 0.487 0.136
Tb 0.196 0.514 0.514
Tb 0.486 0.486 0.804
Tb 0.486 0.804 0.486
Tb 0.487 0.136 0.136
Tb 0.513 0.864 0.864
Tb 0.514 0.196 0.514
Tb 0.514 0.514 0.196
Tb 0.804 0.486 0.486
Tb 0.864 0.513 0.864
Tb 0.864 0.864 0.513
Nd 0.164 0.768 0.768
Nd 0.232 0.232 0.836
Nd 0.232 0.836 0.232
Nd 0.768 0.164 0.768
Nd 0.768 0.768 0.164
Nd 0.836 0.232 0.232
Y 0.000 0.000 0.000

Results
E_tot ... -4.645 eV per atom
Total magnetic moment ... 0.00 Bohr magnetons per cell
Formation energy from the elements ... 0.13 eV/atom
E above lowest polymorph ... 0.0000 eV/atom
Symmetry ... No. 166


# 4
# Tb12Nd5Y

An optimized crystal structure of Tb12Nd5Y (PBE, the Alexandria database).

a = 10.495 Å, b = 10.495 Å, c = 5.783 Å
α = 90.00°, β = 90.00°, γ = 111.40°
Atoms (fractional coordinates):
Tb 0.026 0.667 0.501
Tb 0.166 0.524 0.999
Tb 0.201 0.201 0.003
Tb 0.301 0.301 0.503
Tb 0.333 0.974 0.499
Tb 0.476 0.834 0.001
Tb 0.524 0.166 0.999
Tb 0.667 0.026 0.501
Tb 0.699 0.699 0.497
Tb 0.799 0.799 0.997
Tb 0.834 0.476 0.001
Tb 0.974 0.333 0.499
Nd 0.000 0.000 0.500
Nd 0.139 0.861 0.000
Nd 0.364 0.636 0.500
Nd 0.636 0.364 0.500
Nd 0.861 0.139 0.000
Y 0.500 0.500 0.000

Results
E_tot ... -4.683 eV per atom
Total magnetic moment ... 0.00 Bohr magnetons per cell
Formation energy from the elements ... 0.09 eV/atom
Symmetry ... No. 12


# 5
# Tb2NdY2

An optimized crystal structure of Tb2NdY2 (PBE, the Alexandria database).

a = 9.407 Å, b = 9.407 Å, c = 3.775 Å
α = 90.00°, β = 90.00°, γ = 90.00°
Atoms (fractional coordinates):
Tb 0.126 0.374 0.000
Tb 0.374 0.874 0.000
Tb 0.626 0.126 0.000
Tb 0.874 0.626 0.000
Nd 0.000 0.000 0.000
Nd 0.500 0.500 0.000
Y 0.171 0.671 0.500
Y 0.329 0.171 0.500
Y 0.671 0.829 0.500
Y 0.829 0.329 0.500

Results
E_tot ... -5.309 eV per atom
Total magnetic moment ... 0.00 Bohr magnetons per cell
Formation energy from the elements ... 0.08 eV/atom
E above lowest polymorph ... 0.0000 eV/atom
Symmetry ... No. 127


# 6
# Tb3Nd4Y

An optimized crystal structure of Tb3Nd4Y (PBE, the Alexandria database).

a = 23.686 Å, b = 3.518 Å, c = 6.854 Å
α = 90.00°, β = 106.66°, γ = 90.00°
Atoms (fractional coordinates):
Tb 0.000 0.000 0.000
Tb 0.123 0.000 0.382
Tb 0.377 0.500 0.618
Tb 0.500 0.500 0.000
Tb 0.623 0.500 0.382
Tb 0.877 0.000 0.618
Nd 0.124 0.000 0.869
Nd 0.241 0.500 0.736
Nd 0.259 0.000 0.264
Nd 0.376 0.500 0.131
Nd 0.624 0.500 0.869
Nd 0.741 0.000 0.736
Nd 0.759 0.500 0.264
Nd 0.876 0.000 0.131
Y 0.000 0.500 0.500
Y 0.500 0.000 0.500

Results
E_tot ... -4.770 eV per atom
Total magnetic moment ... 0.00 Bohr magnetons per cell
Formation energy from the elements ... 0.16 eV/atom
E above lowest polymorph ... 0.1311 eV/atom
Symmetry ... No. 12


# 7
# Tb3Nd8Y2

An optimized crystal structure of Tb3Nd8Y2 (PBE, the Alexandria database).

a = 5.770 Å, b = 7.736 Å, c = 10.971 Å
α = 110.61°, β = 90.02°, γ = 90.00°
Atoms (fractional coordinates):
Tb 0.000 0.000 0.000
Tb 0.500 0.285 0.000
Tb 0.500 0.715 0.000
Nd 0.000 0.188 0.789
Nd 0.000 0.400 0.211
Nd 0.000 0.600 0.789
Nd 0.000 0.812 0.211
Nd 0.499 0.328 0.656
Nd 0.500 0.132 0.263
Nd 0.500 0.868 0.737
Nd 0.501 0.672 0.344
Y 0.001 0.760 0.519
Y 0.999 0.240 0.481

Results
E_tot ... -4.794 eV per atom
Total magnetic moment ... 0.00 Bohr magnetons per cell
Formation energy from the elements ... 0.20 eV/atom
Symmetry ... No. 2


# 8
# Tb5NdY4

An optimized crystal structure of Tb5NdY4 (PBE, the Alexandria database).

a = 7.890 Å, b = 7.890 Å, c = 7.890 Å
α = 99.31°, β = 99.31°, γ = 132.56°
Atoms (fractional coordinates):
Tb 0.000 0.000 0.000
Tb 0.498 0.580 0.625
Tb 0.580 0.955 0.082
Tb 0.873 0.498 0.918
Tb 0.955 0.873 0.375
Nd 0.455 0.455 0.000
Y 0.178 0.567 0.298
Y 0.268 0.880 0.702
Y 0.567 0.268 0.389
Y 0.880 0.178 0.611

Results
E_tot ... -5.085 eV per atom
Total magnetic moment ... 0.00 Bohr magnetons per cell
Formation energy from the elements ... 0.29 eV/atom
Symmetry ... No. 79